1.
Density functional theory data (PBE) for a relaxed RbTi2V crystal.

Summary:
Space-group type: I4_1/amd
ΔE_f in eV per atom: 1.301

Cell lengths 7.182, 7.182, 7.192 Å; angles 60.04, 60.04, 90.00 degrees
Fractional positions:
V (0.500, 0.500, 0.000)
V (0.250, 0.750, 0.500)
Rb (0.000, 0.000, 0.000)
Rb (0.750, 0.250, 0.500)
Ti (0.375, 0.125, 0.250)
Ti (0.375, 0.625, 0.250)
Ti (0.375, 0.625, 0.750)
Ti (0.875, 0.625, 0.750)

2.
Density functional theory data (PBE) for a relaxed AcNd3SmTm crystal.

Summary:
Space-group type: P2_1/m
ΔE_f in eV per atom: 0.038

Cell lengths 5.236, 8.250, 11.045 Å; angles 116.30, 90.00, 90.00 degrees
Fractional positions:
Ac (0.250, 0.123, 0.294)
Ac (0.750, 0.877, 0.706)
Nd (0.750, 0.868, 0.041)
Nd (0.250, 0.132, 0.959)
Nd (0.250, 0.627, 0.454)
Nd (0.750, 0.373, 0.546)
Nd (0.750, 0.381, 0.208)
Nd (0.250, 0.619, 0.792)
Sm (0.250, 0.622, 0.125)
Sm (0.750, 0.378, 0.875)
Tm (0.250, 0.128, 0.626)
Tm (0.750, 0.872, 0.374)

3.
Density functional theory data (PBE) for a relaxed BeP2RhS crystal.

Summary:
Space-group type: P4/mmm
Formation energy without anion corrections in eV/atom: 0.6386

Cell lengths 4.085, 4.085, 4.377 Å; angles 90.00, 90.00, 90.00 degrees
Fractional positions:
P (0.000, 0.500, 0.000)
P (0.500, 0.000, 0.000)
S (0.000, 0.000, 0.500)
Rh (0.500, 0.500, 0.500)
Be (0.000, 0.000, 0.000)

4.
Density functional theory data (PBE) for a relaxed LaZn3Cd crystal.

Summary:
Space-group type: Cmcm
ΔE_f in eV per atom: -0.298

Cell lengths 6.221, 6.221, 6.171 Å; angles 90.00, 90.00, 63.72 degrees
Fractional positions:
La (0.012, 0.215, 0.052)
La (0.548, 0.751, 0.552)
Zn (0.131, 0.333, 0.552)
Zn (0.430, 0.632, 0.052)
Zn (0.478, 0.285, 0.802)
Zn (0.478, 0.285, 0.302)
Zn (0.082, 0.681, 0.302)
Zn (0.082, 0.681, 0.802)
Cd (0.882, 0.084, 0.552)
Cd (0.679, 0.882, 0.052)

5.
Density functional theory data (PBE) for a relaxed CdMo3 crystal.

Summary:
Space-group type: P4/mmm
ΔE_f in eV per atom: 0.425

Cell lengths 2.686, 2.686, 9.410 Å; angles 90.00, 90.00, 90.00 degrees
Fractional positions:
Cd (0.000, 0.000, 0.000)
Mo (0.000, 0.000, 0.500)
Mo (0.500, 0.500, 0.256)
Mo (0.500, 0.500, 0.744)

6.
Density functional theory data (PBE) for a relaxed NaLiBr2Cl crystal.

Summary:
Space-group type: P4/mmm
Formation energy without anion corrections in eV/atom: -0.6511

Cell lengths 6.159, 4.803, 6.159 Å; angles 90.00, 90.00, 90.00 degrees
Fractional positions:
Na (0.000, 0.500, 0.000)
Li (0.500, 0.500, 0.500)
Br (0.000, 0.000, 0.500)
Br (0.500, 0.000, 0.000)
Cl (0.000, 0.000, 0.000)

7.
Density functional theory data (PBE) for a relaxed PaTl2BrF6 crystal.

Summary:
Space-group type: P-3m1
Formation energy without anion corrections in eV/atom: -2.7161

Cell lengths 6.364, 6.577, 6.577 Å; angles 120.00, 90.00, 90.00 degrees
Fractional positions:
Pa (0.000, 0.000, 0.000)
Tl (0.215, 0.333, 0.667)
Tl (0.785, 0.667, 0.333)
Br (0.500, 0.000, 0.000)
F (0.869, 0.175, 0.349)
F (0.869, 0.175, 0.825)
F (0.869, 0.651, 0.825)
F (0.131, 0.825, 0.175)
F (0.131, 0.349, 0.175)
F (0.131, 0.825, 0.651)

8.
Density functional theory data (PBE) for a relaxed PmNdTmPb crystal.

Summary:
Space-group type: F-43m
ΔE_f in eV per atom: -0.148

Cell lengths 5.570, 5.570, 5.570 Å; angles 60.00, 60.00, 60.00 degrees
Fractional positions:
Pb (0.250, 0.250, 0.250)
Tm (0.750, 0.750, 0.750)
Nd (0.000, 0.000, 0.000)
Pm (0.500, 0.500, 0.500)